Record 1
The following is a GGA-PBE calculation of an optimized crystal structure of Hg5GeAu3, from the Alexandria database.

M_tot, Bohr magnetons per cell: 0.0
V, Å³ per atom: 27.41
N(E_F), states/eV/cell: 4.35
ρ, g cm⁻³: 11.2
Total energy, eV/atom: -1.701

abc: 8.371 8.371 8.141
angles: 111.48 111.48 79.91
Atoms (fractional coordinates):
Hg  0.071  0.071  0.353
Hg  0.101  0.584  0.252
Hg  0.241  0.759  0.000
Hg  0.328  0.328  0.600
Hg  0.416  0.899  0.748
Hg  0.584  0.101  0.252
Hg  0.672  0.672  0.400
Hg  0.759  0.241  0.000
Hg  0.899  0.416  0.748
Hg  0.929  0.929  0.647
Ge  0.347  0.347  0.137
Ge  0.653  0.653  0.863
Au  0.122  0.122  0.048
Au  0.178  0.178  0.753
Au  0.500  0.500  0.000
Au  0.500  0.500  0.500
Au  0.822  0.822  0.247
Au  0.878  0.878  0.952

=====

Record 2
The following is a GGA-PBE calculation of an optimized crystal structure of KBaAu, from the Alexandria database.

M_tot, Bohr magnetons per cell: 0.0
V, Å³ per atom: 48.82
N(E_F), states/eV/cell: 2.33
ρ, g cm⁻³: 4.2
Offset from the most stable computed form, meV/atom: 132

abc: 4.562 4.562 16.250
angles: 90.00 90.00 120.00
Atoms (fractional coordinates):
K  0.000  0.000  0.127
K  0.000  0.000  0.873
Ba  0.333  0.667  0.374
Ba  0.333  0.667  0.626
Au  0.000  0.000  0.500
Au  0.333  0.667  0.000

=====

Record 3
The following is a GGA-PBE calculation of an optimized crystal structure of FeAsP4, from the Alexandria database.

M_tot, Bohr magnetons per cell: 2.9
V, Å³ per atom: 15.33
N(E_F), states/eV/cell: 4.75
ρ, g cm⁻³: 4.6
Total energy, eV/atom: -4.982

abc: 5.067 5.067 5.067
angles: 60.00 60.00 60.00
Atoms (fractional coordinates):
Fe  0.000  0.000  0.000
As  0.250  0.250  0.250
P  0.116  0.628  0.628
P  0.628  0.116  0.628
P  0.628  0.628  0.116
P  0.628  0.628  0.628

=====

Record 4
The following is a GGA-PBE calculation of an optimized crystal structure of Ca2SnPb3, from the Alexandria database.

M_tot, Bohr magnetons per cell: 0.0
V, Å³ per atom: 31.08
N(E_F), states/eV/cell: 10.36
ρ, g cm⁻³: 7.3
Total energy, eV/atom: -3.474

abc: 10.464 3.678 19.385
angles: 90.00 90.00 90.00
Atoms (fractional coordinates):
Ca  0.003  0.250  0.249
Ca  0.205  0.250  0.487
Ca  0.295  0.750  0.987
Ca  0.497  0.750  0.749
Ca  0.503  0.250  0.251
Ca  0.705  0.250  0.013
Ca  0.795  0.750  0.513
Ca  0.997  0.750  0.751
Sn  0.191  0.250  0.852
Sn  0.309  0.750  0.352
Sn  0.691  0.250  0.648
Sn  0.809  0.750  0.148
Pb  0.014  0.750  0.392
Pb  0.046  0.250  0.068
Pb  0.243  0.750  0.182
Pb  0.257  0.250  0.682
Pb  0.454  0.750  0.568
Pb  0.486  0.250  0.892
Pb  0.514  0.750  0.108
Pb  0.546  0.250  0.432
Pb  0.743  0.750  0.318
Pb  0.757  0.250  0.818
Pb  0.954  0.750  0.932
Pb  0.986  0.250  0.608

=====

Question: The lowest V belongs to which entry?
Answer: FeAsP4